Entry 1:
DFT (PBE) results for a relaxed NpNF crystal.

Calculated values
Total moment   3.00 μB/f.u.
Calculated total energy   -9.532 eV per atom
Formation energy from raw total energies   -1.82 eV/atom
Crystal system   trigonal

Cell: 5.071 3.586 3.586 Å, 120.00 90.00 90.00°
Fractional coordinates of all 3 atoms:
1 Np 0.037 0.000 0.000
2 N 0.180 0.333 0.667
3 F 0.783 0.667 0.333

Entry 2:
DFT (PBE) results for a relaxed Ho2SnF crystal.

Calculated values
Total moment   0.00 μB/f.u.
Calculated total energy   -5.247 eV per atom
Formation energy from raw total energies   -1.49 eV/atom
Crystal system   trigonal

Cell: 4.698 4.698 7.548 Å, 71.87 71.87 60.00°
Fractional coordinates of all 4 atoms:
1 F 0.000 0.000 0.000
2 Ho 0.103 0.103 0.692
3 Ho 0.897 0.897 0.308
4 Sn 0.500 0.500 0.500

Entry 3:
DFT (PBE) results for a relaxed TiFeSi crystal.

Calculated values
Total moment   0.00 μB/f.u.
Calculated total energy   -7.734 eV per atom
Formation energy from raw total energies   -0.47 eV/atom
Crystal system   tetragonal

Cell: 2.840 2.840 5.123 Å, 106.09 106.09 90.00°
Fractional coordinates of all 3 atoms:
1 Si 0.305 0.305 0.610
2 Fe 0.937 0.937 0.874
3 Ti 0.608 0.608 0.217

Entry 4:
DFT (PBE) results for a relaxed YThCoI crystal.

Calculated values
Total moment   0.00 μB/f.u.
Calculated total energy   -6.228 eV per atom
Formation energy from raw total energies   -0.59 eV/atom
Crystal system   monoclinic

Cell: 4.025 4.041 8.390 Å, 90.02 103.91 120.05°
Fractional coordinates of all 4 atoms:
1 Y 0.516 0.156 0.686
2 Th 0.078 0.937 0.034
3 Co 0.309 0.553 0.876
4 I 0.974 0.385 0.374

Entry 5:
DFT (PBE) results for a relaxed NaScOF2 crystal.

Calculated values
Total moment   0.00 μB/f.u.
Calculated total energy   -6.440 eV per atom
Formation energy from raw total energies   -3.17 eV/atom
Energy above the most stable polymorph in this dataset   0 meV per atom
Crystal system   tetragonal

Cell: 4.172 4.172 4.015 Å, 90.00 90.00 90.00°
Fractional coordinates of all 5 atoms:
1 Sc 0.000 0.000 0.000
2 Na 0.500 0.500 0.500
3 O 0.000 0.000 0.500
4 F 0.000 0.500 0.000
5 F 0.500 0.000 0.000

Entry 6:
DFT (PBE) results for a relaxed Tl2TcAu crystal.

Calculated values
E_form   0.5625 eV per atom
Total moment   0.70 μB/f.u.
Calculated total energy   -4.031 eV per atom
Energy above the most stable polymorph in this dataset   91 meV per atom
Crystal system   trigonal

Cell: 9.905 9.905 9.905 Å, 18.51 18.51 18.51°
Fractional coordinates of all 4 atoms:
1 Au 0.492 0.492 0.492
2 Tc 0.754 0.754 0.754
3 Tl 0.010 0.010 0.010
4 Tl 0.244 0.244 0.244

Entry 7:
DFT (PBE) results for a relaxed KBaSi2 crystal.

Calculated values
Total moment   0.00 μB/f.u.
Calculated total energy   -3.143 eV per atom
Formation energy from raw total energies   0.32 eV/atom
Energy above the most stable polymorph in this dataset   504 meV per atom
Crystal system   monoclinic

Cell: 6.045 7.672 3.379 Å, 64.16 89.83 120.85°
Fractional coordinates of all 4 atoms:
1 Ba 0.500 0.500 0.000
2 K 0.500 0.000 0.500
3 Si 0.000 0.000 0.000
4 Si 0.000 0.500 0.500

Entry 8:
DFT (PBE) results for a relaxed InPRh2 crystal.

Calculated values
E_form   -0.4217 eV per atom
Total moment   0.00 μB/f.u.
Calculated total energy   -6.135 eV per atom
Crystal system   monoclinic

Cell: 3.613 3.613 7.191 Å, 75.13 75.13 48.97°
Fractional coordinates of all 4 atoms:
1 In 0.000 0.000 0.500
2 P 0.500 0.500 0.000
3 Rh 0.260 0.260 0.821
4 Rh 0.740 0.740 0.179

Entry 9:
DFT (PBE) results for a relaxed SrPmP crystal.

Calculated values
E_form   -0.8522 eV per atom
Total moment   0.34 μB/f.u.
Calculated total energy   -4.800 eV per atom
Energy above the most stable polymorph in this dataset   0 meV per atom
Crystal system   trigonal

Cell: 6.991 4.188 4.188 Å, 120.00 90.00 90.00°
Fractional coordinates of all 3 atoms:
1 Sr 0.750 0.667 0.333
2 P 0.023 0.000 0.000
3 Pm 0.227 0.333 0.667

Entry 10:
DFT (PBE) results for a relaxed Hf2VGa2 crystal.

Calculated values
E_form   -0.3491 eV per atom
Total moment   1.92 μB/f.u.
Calculated total energy   -7.365 eV per atom
Crystal system   tetragonal

Cell: 6.896 6.896 3.774 Å, 90.00 90.00 90.00°
Fractional coordinates of all 10 atoms:
1 Hf 0.175 0.675 0.500
2 Hf 0.675 0.825 0.500
3 Hf 0.825 0.325 0.500
4 Hf 0.325 0.175 0.500
5 Ga 0.371 0.871 0.000
6 Ga 0.871 0.629 0.000
7 Ga 0.629 0.129 0.000
8 Ga 0.129 0.371 0.000
9 V 0.000 0.000 0.000
10 V 0.500 0.500 0.000

Entry 11:
DFT (PBE) results for a relaxed SmTm3Tc crystal.

Calculated values
E_form   -0.0250 eV per atom
Total moment   0.00 μB/f.u.
Calculated total energy   -5.725 eV per atom
Energy above the most stable polymorph in this dataset   3 meV per atom
Crystal system   orthorhombic

Cell: 4.770 8.238 7.029 Å, 90.00 90.00 90.00°
Fractional coordinates of all 10 atoms:
1 Sm 0.750 0.250 0.427
2 Sm 0.250 0.750 0.573
3 Tm 0.250 0.452 0.174
4 Tm 0.750 0.548 0.826
5 Tm 0.250 0.048 0.174
6 Tm 0.750 0.952 0.826
7 Tm 0.250 0.250 0.767
8 Tm 0.750 0.750 0.233
9 Tc 0.750 0.250 0.024
10 Tc 0.250 0.750 0.976

Entry 12:
DFT (PBE) results for a relaxed Eu2CdSn crystal.

Calculated values
E_form   -0.5359 eV per atom
Total moment   14.25 μB/f.u.
Calculated total energy   -6.903 eV per atom
Crystal system   tetragonal

Cell: 3.913 5.585 5.585 Å, 90.00 90.00 90.00°
Fractional coordinates of all 4 atoms:
1 Eu 0.000 0.000 0.500
2 Eu 0.000 0.500 0.000
3 Sn 0.500 0.500 0.500
4 Cd 0.500 0.000 0.000

Entry 13:
DFT (PBE) results for a relaxed Tb12Sm5Ho2 crystal.

Calculated values
E_form   0.0168 eV per atom
Total moment   0.00 μB/f.u.
Calculated total energy   -4.631 eV per atom
Energy above the most stable polymorph in this dataset   0 meV per atom
Crystal system   triclinic

Cell: 6.188 10.719 12.878 Å, 133.82 94.63 84.52°
Fractional coordinates of all 19 atoms:
1 Tb 0.947 0.105 0.288
2 Tb 0.105 0.791 0.921
3 Tb 0.631 0.738 0.026
4 Tb 0.210 0.578 0.341
5 Tb 0.683 0.632 0.237
6 Tb 0.526 0.947 0.606
7 Tb 0.474 0.053 0.394
8 Tb 0.790 0.422 0.659
9 Tb 0.317 0.368 0.763
10 Tb 0.895 0.209 0.079
11 Tb 0.369 0.262 0.974
12 Tb 0.053 0.895 0.712
13 Sm 0.263 0.474 0.553
14 Sm 0.158 0.685 0.131
15 Sm 0.000 0.000 0.500
16 Sm 0.842 0.315 0.869
17 Sm 0.737 0.526 0.447
18 Ho 0.579 0.843 0.817
19 Ho 0.421 0.157 0.183

Entry 14:
DFT (PBE) results for a relaxed ZrU2NiS5 crystal.

Calculated values
Total moment   4.96 μB/f.u.
Calculated total energy   -7.735 eV per atom
Formation energy from raw total energies   -1.34 eV/atom
Crystal system   orthorhombic

Cell: 3.655 8.143 11.531 Å, 90.00 90.00 102.97°
Fractional coordinates of all 18 atoms:
1 Zr 0.823 0.645 0.522
2 Zr 0.177 0.355 0.022
3 U 0.890 0.781 0.848
4 U 0.121 0.243 0.698
5 U 0.110 0.219 0.348
6 U 0.879 0.757 0.198
7 Ni 0.558 0.116 0.920
8 Ni 0.442 0.884 0.420
9 S 0.344 0.688 0.021
10 S 0.691 0.383 0.860
11 S 0.497 0.995 0.750
12 S 0.305 0.611 0.685
13 S 0.984 0.968 0.519
14 S 0.656 0.312 0.521
15 S 0.309 0.617 0.360
16 S 0.503 0.005 0.250
17 S 0.695 0.389 0.185
18 S 0.016 0.032 0.019

Entry 15:
DFT (PBE) results for a relaxed CuBiTe2 crystal.

Calculated values
Total moment   0.00 μB/f.u.
Calculated total energy   -3.616 eV per atom
Formation energy from raw total energies   -0.05 eV/atom
Crystal system   tetragonal

Cell: 6.589 6.589 7.909 Å, 65.38 65.38 90.00°
Fractional coordinates of all 8 atoms:
1 Te 0.564 0.125 0.250
2 Te 0.186 0.625 0.250
3 Te 0.375 0.436 0.750
4 Te 0.875 0.814 0.750
5 Bi 0.000 0.000 0.000
6 Bi 0.750 0.250 0.500
7 Cu 0.500 0.500 0.000
8 Cu 0.250 0.750 0.500

Entry 16:
DFT (PBE) results for a relaxed BaMn3H crystal.

Calculated values
Total moment   9.70 μB/f.u.
Calculated total energy   -5.769 eV per atom
Energy above the most stable polymorph in this dataset   0 meV per atom
Crystal system   cubic

Cell: 4.312 4.312 4.312 Å, 90.00 90.00 90.00°
Fractional coordinates of all 5 atoms:
1 H 0.000 0.000 0.000
2 Mn 0.000 0.500 0.000
3 Mn 0.000 0.000 0.500
4 Mn 0.500 0.000 0.000
5 Ba 0.500 0.500 0.500

Entry 17:
DFT (PBE) results for a relaxed Ga3CuPt12 crystal.

Calculated values
E_form   -0.3519 eV per atom
Total moment   0.00 μB/f.u.
Calculated total energy   -5.706 eV per atom
Crystal system   tetragonal

Cell: 3.944 3.944 15.699 Å, 90.00 90.00 90.00°
Fractional coordinates of all 16 atoms:
1 Ga 0.000 0.000 0.247
2 Ga 0.000 0.000 0.500
3 Ga 0.000 0.000 0.753
4 Cu 0.000 0.000 0.000
5 Pt 0.500 0.500 0.000
6 Pt 0.500 0.500 0.249
7 Pt 0.500 0.500 0.500
8 Pt 0.500 0.500 0.751
9 Pt 0.500 0.000 0.123
10 Pt 0.500 0.000 0.374
11 Pt 0.500 0.000 0.626
12 Pt 0.500 0.000 0.877
13 Pt 0.000 0.500 0.123
14 Pt 0.000 0.500 0.374
15 Pt 0.000 0.500 0.626
16 Pt 0.000 0.500 0.877

Entry 18:
DFT (PBE) results for a relaxed CaCe3Sb4 crystal.

Calculated values
Total moment   1.95 μB/f.u.
Calculated total energy   -5.550 eV per atom
Formation energy from raw total energies   -1.01 eV/atom
Crystal system   orthorhombic

Cell: 4.523 7.798 7.798 Å, 70.50 89.99 89.99°
Fractional coordinates of all 8 atoms:
1 Sb 0.000 0.755 0.745
2 Sb 0.500 0.752 0.252
3 Sb 0.000 0.245 0.255
4 Sb 0.500 0.248 0.748
5 Ca 0.500 0.500 0.000
6 Ce 0.500 0.000 0.500
7 Ce 0.000 0.000 0.000
8 Ce 0.000 0.500 0.500

Entry 19:
DFT (PBE) results for a relaxed K2BaZr crystal.

Calculated values
E_form   0.5949 eV per atom
Total moment   0.87 μB/f.u.
Calculated total energy   -2.572 eV per atom
Energy above the most stable polymorph in this dataset   13 meV per atom
Crystal system   trigonal

Cell: 14.373 14.373 14.373 Å, 15.30 15.30 15.30°
Fractional coordinates of all 4 atoms:
1 Ba 0.763 0.763 0.763
2 K 0.003 0.003 0.003
3 K 0.238 0.238 0.238
4 Zr 0.496 0.496 0.496

Entry 20:
DFT (PBE) results for a relaxed K3HfPa2As6 crystal.

Calculated values
E_form   -0.7414 eV per atom
Total moment   0.00 μB/f.u.
Calculated total energy   -5.753 eV per atom
Crystal system   monoclinic

Cell: 7.242 7.242 8.066 Å, 98.61 98.61 120.01°
Fractional coordinates of all 12 atoms:
1 K 0.167 0.833 0.500
2 K 0.833 0.167 0.500
3 K 0.500 0.500 0.500
4 Hf 0.000 0.000 0.000
5 Pa 0.333 0.667 0.000
6 Pa 0.667 0.333 0.000
7 As 0.937 0.613 0.811
8 As 0.739 0.739 0.189
9 As 0.063 0.387 0.189
10 As 0.613 0.937 0.811
11 As 0.261 0.261 0.811
12 As 0.387 0.063 0.189